This record from the Alexandria database describes an optimized crystal structure of Ca4Si2Ge5. The functional is PBE-GGA.

Properties
SG: No. 10
Uncorrected formation energy in eV per atom: -0.454

Cell: 7.0134 4.4372 8.0137 Å, 90.00 90.13 90.00°
Atoms (fractional coordinates):
Ca1 0.2281 0.0000 0.1315
Ca2 0.2558 0.0000 0.6210
Ca3 0.7442 0.0000 0.3790
Ca4 0.7719 0.0000 0.8685
Si1 0.0825 0.5000 0.3735
Si2 0.9175 0.5000 0.6265
Ge1 0.1217 0.5000 0.8782
Ge2 0.4293 0.5000 0.3472
Ge3 0.5000 0.5000 0.0000
Ge4 0.5707 0.5000 0.6528
Ge5 0.8783 0.5000 0.1218

This record from the Alexandria database describes an optimized crystal structure of MnNiPd14. The functional is PBE-GGA.

Properties
SG: No. 123
ΔH_f (0 K) in eV/atom: -0.04

Cell: 5.5526 5.5526 7.8719 Å, 90.00 90.00 90.00°
Atoms (fractional coordinates):
Mn1 0.0000 0.0000 0.0000
Ni1 0.5000 0.5000 0.0000
Pd1 0.0000 0.0000 0.5000
Pd2 0.0000 0.5000 0.0000
Pd3 0.0000 0.5000 0.5000
Pd4 0.2509 0.2509 0.2433
Pd5 0.2509 0.2509 0.7567
Pd6 0.2509 0.7491 0.2433
Pd7 0.2509 0.7491 0.7567
Pd8 0.5000 0.0000 0.0000
Pd9 0.5000 0.0000 0.5000
Pd10 0.5000 0.5000 0.5000
Pd11 0.7491 0.2509 0.2433
Pd12 0.7491 0.2509 0.7567
Pd13 0.7491 0.7491 0.2433
Pd14 0.7491 0.7491 0.7567

This record from the Alexandria database describes an optimized crystal structure of BaLiV2. The functional is PBE-GGA.

Properties
SG: No. 122
Relative energy among the computed polymorphs in eV per atom: 0.0000
ΔH_f (0 K) in eV/atom: 1.11

Cell: 11.1229 11.1229 11.1229 Å, 157.55 157.55 31.96°
Atoms (fractional coordinates):
Ba1 0.0000 0.0000 0.0000
Ba2 0.7500 0.2500 0.5000
Li1 0.2500 0.7500 0.5000
Li2 0.5000 0.5000 0.0000
V1 0.3586 0.6250 0.2336
V2 0.3750 0.6086 0.7336
V3 0.3914 0.1250 0.7664
V4 0.8750 0.6414 0.2664

This record from the Alexandria database describes an optimized crystal structure of Ho2Tm7Cd2. The functional is PBE-GGA.

Properties
SG: No. 12
ΔH_f (0 K) in eV/atom: -0.04

Cell: 6.4076 6.4076 8.3097 Å, 102.54 102.54 97.85°
Atoms (fractional coordinates):
Ho1 0.1843 0.8157 0.0000
Ho2 0.8157 0.1843 0.0000
Tm1 0.0188 0.3748 0.6736
Tm2 0.3572 0.3572 0.0824
Tm3 0.3748 0.0188 0.6736
Tm4 0.5000 0.5000 0.5000
Tm5 0.6252 0.9812 0.3264
Tm6 0.6428 0.6428 0.9176
Tm7 0.9812 0.6252 0.3264
Cd1 0.1201 0.1201 0.3270
Cd2 0.8799 0.8799 0.6730